(1)
Li2TlMo (PBE, optimized geometry); crystal system = monoclinic; E_tot = -3.821 eV/atom; Fermi-level density of states = 0.746 states/eV per atom; formation enthalpy at 0 K = 435.1 meV per atom; excess energy over the best structure of this formula in the dataset = 79.0 meV per atom; total moment = 0.7 μB per cell
1.0
2.808 0.000 0.000
0.000 4.581 0.000
-1.133 0.000 5.540
Li Tl Mo
2 1 1
Direct
0.000 0.000 0.000
0.191 0.500 0.781
0.351 0.000 0.500
0.704 0.500 0.269

=====

(2)
NdSm8Mg2 (PBE, optimized geometry); crystal system = monoclinic; E_tot = -4.143 eV/atom; Fermi-level density of states = 1.373 states/eV per atom; formation enthalpy at 0 K = 12.0 meV per atom; excess energy over the best structure of this formula in the dataset = 0.0 meV per atom; total moment = 0.0 μB per cell
1.0
8.545 -2.679 0.000
8.545 2.679 0.000
-3.382 0.000 7.748
Nd Sm Mg
1 8 2
Direct
0.000 0.000 0.000
0.099 0.099 0.468
0.187 0.187 0.951
0.352 0.352 0.796
0.447 0.447 0.265
0.553 0.553 0.735
0.648 0.648 0.204
0.813 0.813 0.049
0.901 0.901 0.532
0.275 0.275 0.370
0.725 0.725 0.630

=====

(3)
SmHoCdGa (PBE, optimized geometry); crystal system = tetragonal; E_tot = -3.764 eV/atom; Fermi-level density of states = 0.606 states/eV per atom; formation enthalpy at 0 K = -454.3 meV per atom; excess energy over the best structure of this formula in the dataset = 0.0 meV per atom; total moment = 0.0 μB per cell
1.0
3.646 0.000 0.000
0.000 3.646 0.000
0.000 0.000 7.539
Sm Ho Cd Ga
1 1 1 1
Direct
0.000 0.000 0.000
0.000 0.000 0.468
0.500 0.500 0.722
0.500 0.500 0.244

=====

(4)
NdPuThHg (PBE, optimized geometry); crystal system = cubic; E_tot = -6.662 eV/atom; Fermi-level density of states = 4.268 states/eV per atom; formation enthalpy at 0 K = 43.6 meV per atom; total moment = 6.8 μB per cell
1.0
0.000 3.845 3.845
3.845 0.000 3.845
3.845 3.845 0.000
Nd Pu Th Hg
1 1 1 1
Direct
0.000 0.000 0.000
0.250 0.250 0.250
0.500 0.500 0.500
0.750 0.750 0.750

=====

(5)
Cd2HgMoC (PBE, optimized geometry); crystal system = tetragonal; E_tot = -2.501 eV/atom; Fermi-level density of states = 0.807 states/eV per atom; formation enthalpy at 0 K = 1936.0 meV per atom; total moment = 2.9 μB per cell
1.0
5.577 0.000 0.000
0.000 5.577 0.000
0.000 0.000 3.947
Cd Hg Mo C
2 1 1 1
Direct
0.000 0.500 0.000
0.500 0.000 0.000
0.000 0.000 0.000
0.500 0.500 0.500
0.000 0.000 0.500

=====

(6)
Er6In3Ru (PBE, optimized geometry); crystal system = monoclinic; E_tot = -4.867 eV/atom; Fermi-level density of states = 0.751 states/eV per atom; formation enthalpy at 0 K = -380.6 meV per atom; excess energy over the best structure of this formula in the dataset = 0.0 meV per atom; total moment = 0.0 μB per cell
1.0
9.158 0.000 0.000
0.000 5.229 0.000
-3.377 0.000 10.725
Er In Ru
12 6 2
Direct
0.044 0.250 0.417
0.194 0.750 0.167
0.284 0.250 0.004
0.350 0.750 0.829
0.374 0.250 0.340
0.395 0.250 0.648
0.605 0.750 0.352
0.626 0.750 0.660
0.650 0.250 0.171
0.716 0.750 0.996
0.806 0.250 0.833
0.956 0.750 0.583
0.011 0.750 0.881
0.094 0.250 0.719
0.276 0.750 0.477
0.724 0.250 0.523
0.906 0.750 0.281
0.989 0.250 0.119
0.462 0.750 0.094
0.538 0.250 0.906

=====

(7)
YPa3N6 (PBE, optimized geometry); crystal system = monoclinic; E_tot = -10.141 eV/atom; ΔE_f (raw) = -1.651 eV per atom; excess energy over the best structure of this formula in the dataset = 0.0 meV per atom; total moment = 0.0 μB per cell
1.0
9.218 0.000 0.000
0.000 3.566 0.000
-2.397 0.000 9.033
Y Pa N
2 6 12
Direct
0.072 0.250 0.173
0.928 0.750 0.827
0.170 0.250 0.583
0.313 0.750 0.975
0.466 0.250 0.321
0.534 0.750 0.679
0.687 0.250 0.025
0.830 0.750 0.417
0.075 0.750 0.420
0.116 0.250 0.931
0.275 0.750 0.720
0.292 0.750 0.216
0.407 0.250 0.549
0.446 0.250 0.079
0.554 0.750 0.921
0.593 0.750 0.451
0.708 0.250 0.784
0.725 0.250 0.280
0.884 0.750 0.069
0.925 0.250 0.580

=====

(8)
YSeBr2 (PBE, optimized geometry); crystal system = monoclinic; E_tot = -4.621 eV/atom; Fermi-level density of states = 0.333 states/eV per atom; ΔE_f (raw) = -1.298 eV per atom; excess energy over the best structure of this formula in the dataset = 68.0 meV per atom; total moment = 1.0 μB per cell
1.0
4.355 0.000 0.000
0.000 3.924 0.000
-1.514 0.000 7.867
Y Se Br
1 1 2
Direct
0.000 0.000 0.000
0.521 0.500 0.064
0.189 0.000 0.340
0.853 0.500 0.731